The following is a DFT calculation (PBE) of a geometry-optimized AlZn3P structure.

Cell: 4.6714 4.6714 4.6714 Å, 90.00 90.00 90.00°
With the nearest neighbours (Å) after each atom.
Space group Pm-3m (No. 221)
One atom of each set of equivalent atoms:
Al  0.0000  0.0000  0.0000 (multiplicity 1)  12 Zn 3.30
Zn  0.0000  0.5000  0.5000 (multiplicity 3)  2 P 2.34
P  0.5000  0.5000  0.5000 (multiplicity 1)  6 Zn 2.34

Values from the calculation:
The total DFT energy (no corrections) is -10.73 eV per formula unit.

=====

The following is a DFT calculation (PBE) of a geometry-optimized Pa7Al structure.

Cell: 9.1528 9.1528 9.1528 Å, 90.00 90.00 90.00°
With the nearest neighbours (Å) after each atom.
Space group Fm-3m (No. 225)
One atom of each set of equivalent atoms:
Pa  0.0000  0.0000  0.0000 (multiplicity 4)  12 Pa 3.24
Pa  0.0000  0.2500  0.2500 (multiplicity 24)  10 Pa 3.24, 2 Al 3.24
Al  0.0000  0.0000  0.5000 (multiplicity 4)  12 Pa 3.24

Values from the calculation:
The value obtained for the size of the total moment is 0.00 μB/atom. The total DFT energy (no corrections) is -70.86 eV per formula unit.